{"formula": "Pr11Ni4Hg9", "functional": "GGA-PBE", "state": "optimized geometry", "space_group": "Cmmm (65)", "formation_energy_ev_per_atom": -0.437, "lattice_angstrom": [[7.418, -11.139, 0.000], [7.418, 11.139, 0.000], [0.000, 0.000, 3.771]], "species": ["Pr", "Pr", "Pr", "Pr", "Pr", "Pr", "Pr", "Pr", "Pr", "Pr", "Pr", "Ni", "Ni", "Ni", "Ni", "Hg", "Hg", "Hg", "Hg", "Hg", "Hg", "Hg", "Hg", "Hg"], "frac_coords": [[0.000, 0.000, 0.000], [0.079, 0.416, 0.000], [0.167, 0.833, 0.000], [0.309, 0.309, 0.000], [0.374, 0.626, 0.000], [0.416, 0.079, 0.000], [0.584, 0.921, 0.000], [0.626, 0.374, 0.000], [0.691, 0.691, 0.000], [0.833, 0.167, 0.000], [0.921, 0.584, 0.000], [0.250, 0.450, 0.500], [0.450, 0.250, 0.500], [0.550, 0.750, 0.500], [0.750, 0.550, 0.500], [0.075, 0.218, 0.500], [0.160, 0.630, 0.500], [0.218, 0.075, 0.500], [0.370, 0.840, 0.500], [0.500, 0.500, 0.500], [0.630, 0.160, 0.500], [0.782, 0.925, 0.500], [0.840, 0.370, 0.500], [0.925, 0.782, 0.500]]}

=====

{"formula": "InAsC2", "functional": "GGA-PBE", "state": "optimized geometry", "de_polymorph_mev_per_atom": 0, "space_group": "I-42d (122)", "formation_energy_ev_per_atom": 0.864, "lattice_angstrom": [[-2.470, 2.470, 4.638], [2.470, -2.470, 4.638], [2.470, 2.470, -4.638]], "species": ["In", "In", "As", "As", "C", "C", "C", "C"], "frac_coords": [[0.000, 0.000, 0.000], [0.750, 0.250, 0.500], [0.250, 0.750, 0.500], [0.500, 0.500, 0.000], [0.175, 0.625, 0.050], [0.375, 0.425, 0.550], [0.575, 0.125, 0.950], [0.875, 0.825, 0.450]]}

=====

{"formula": "MgTl4Fe", "functional": "GGA-PBE", "state": "optimized geometry", "space_group": "F-43m (216)", "formation_energy_ev_per_atom": 0.669, "lattice_angstrom": [[0.000, 4.432, 4.432], [4.432, 0.000, 4.432], [4.432, 4.432, 0.000]], "species": ["Mg", "Tl", "Tl", "Tl", "Tl", "Fe"], "frac_coords": [[0.000, 0.000, 0.000], [0.126, 0.625, 0.625], [0.625, 0.126, 0.625], [0.625, 0.625, 0.126], [0.625, 0.625, 0.625], [0.250, 0.250, 0.250]]}

=====

{"formula": "Sm2ZrUAs4", "functional": "GGA-PBE", "state": "optimized geometry", "space_group": "P2/m (10)", "formation_energy_ev_per_atom": -1.219, "lattice_angstrom": [[7.054, 0.000, 0.000], [0.000, 4.071, 0.000], [-2.320, 0.000, 6.726]], "species": ["Sm", "Sm", "Zr", "U", "As", "As", "As", "As"], "frac_coords": [[0.000, 0.000, 0.000], [0.500, 0.500, 0.000], [0.000, 0.500, 0.500], [0.500, 0.000, 0.500], [0.240, 0.000, 0.732], [0.249, 0.500, 0.263], [0.751, 0.500, 0.737], [0.760, 0.000, 0.268]]}

=====

Calculated values (μB per cell) of total magnetization for the records, taken in order: 0.02; 0.00; 3.03; 2.52.